! AlRuRh2, optimized geometry, DFT PBE-GGA; values from VASP
&SYSTEM
  ibrav = 0, nat = 8, ntyp = 3
/
ATOMIC_SPECIES
Al 26.98 Al.upf
Ru 101.07 Ru.upf
Rh 102.91 Rh.upf
ATOMIC_POSITIONS crystal
Al 0.0000 0.0000 0.0000
Al 0.7500 0.2500 0.5000
Ru 0.2500 0.7500 0.5000
Ru 0.5000 0.5000 0.0000
Rh 0.1226 0.6250 0.9976
Rh 0.3750 0.3726 0.4976
Rh 0.6274 0.1250 0.0024
Rh 0.8750 0.8774 0.5024
CELL_PARAMETERS angstrom
-1.8656 1.8656 8.8473
1.8656 -1.8656 8.8473
1.8656 1.8656 -8.8473
! Size of the total moment = 0.0 μB/f.u.
! Final energy = -54.31 eV for the cell shown
! Calculated formation energy = 0.14 eV/atom